No. 1
Here is an optimized crystal structure of TbTlMo from OQMD via LeMat-Bulk. Energies are from PBE-GGA.

E_tot ... -15.416 eV/f.u.
Crystal system ... cubic
M_tot ... 1.389 μB per formula unit

Lattice parameters (Å, degrees): 6.8135 6.8135 6.8135 90.00 90.00 90.00
Space group F-43m (No. 216)
Symmetry-distinct sites (fractional):
1 Tb 0.0000 0.0000 0.0000 x4
2 Tl 0.2500 0.2500 0.7500 x4
3 Mo 0.0000 0.0000 0.5000 x4

=====

No. 2
Here is an optimized crystal structure of Tb5Os2O12 from OQMD via LeMat-Bulk. Energies are from PBE-GGA.

E_tot ... -156.476 eV/f.u.
Crystal system ... monoclinic
M_tot ... 0.881 μB per formula unit

Lattice parameters (Å, degrees): 12.5248 5.6313 7.4826 90.00 107.66 90.00
Space group C2/m (No. 12)
Symmetry-distinct sites (fractional):
1 Tb 0.0000 0.0000 0.0000 x2
2 Tb 0.1876 0.5000 0.3292 x4
3 Tb 0.1983 0.5000 0.8579 x4
4 Os 0.0000 0.2193 0.5000 x4
5 O 0.0007 0.0000 0.2966 x4
6 O 0.0013 0.5000 0.6748 x4
7 O 0.1528 0.2517 0.0731 x8
8 O 0.1659 0.2523 0.5849 x8

=====

No. 3
Here is an optimized crystal structure of TaCoOsPb from OQMD via LeMat-Bulk. Energies are from PBE-GGA.

Crystal system ... cubic
M_tot ... 2.003 μB per formula unit
Energy above the most stable polymorph in this dataset ... 0.000 eV/atom

Lattice parameters (Å, degrees): 6.4020 6.4020 6.4020 90.00 90.00 90.00
Space group F-43m (No. 216)
Symmetry-distinct sites (fractional):
1 Ta 0.0000 0.0000 0.0000 x4
2 Co 0.2500 0.2500 0.7500 x4
3 Os 0.2500 0.2500 0.2500 x4
4 Pb 0.0000 0.0000 0.5000 x4

=====

No. 4
Here is an optimized crystal structure of AgSe from OQMD via LeMat-Bulk. Energies are from PBE-GGA.

E_tot ... -6.195 eV/f.u.
Crystal system ... hexagonal

Lattice parameters (Å, degrees): 4.1299 4.1299 5.9069 90.00 90.00 120.00
Space group P6_3/mmc (No. 194)
Symmetry-distinct sites (fractional):
1 Ag 0.3333 0.6667 0.2500 x2
2 Se 0.0000 0.0000 0.0000 x2

=====

No. 5
Here is an optimized crystal structure of CsSmAlS3 from OQMD via LeMat-Bulk. Energies are from PBE-GGA.

E_tot ... -30.184 eV/f.u.
Crystal system ... orthorhombic
M_tot ... 0.017 μB per formula unit

Lattice parameters (Å, degrees): 4.0468 15.6396 10.9119 90.00 90.00 90.00
Space group Cmcm (No. 63)
Symmetry-distinct sites (fractional):
1 Cs 0.0000 0.2316 0.2500 x4
2 Sm 0.0000 0.5000 0.0000 x4
3 Al 0.0000 0.0401 0.7500 x4
4 S 0.0000 0.1201 0.5776 x8
5 S 0.0000 0.4591 0.7500 x4

=====

No. 6
Here is an optimized crystal structure of ZrCu from OQMD via LeMat-Bulk. Energies are from PBE-GGA.

Formation energy from the elements ... 0.0 eV/f.u.
Crystal system ... monoclinic
M_tot ... 0.002 μB per formula unit

Lattice parameters (Å, degrees): 5.9353 4.6813 7.7489 90.00 100.79 90.00
Space group P2_1/m (No. 11)
Symmetry-distinct sites (fractional):
1 Zr 0.1382 0.2500 0.0424 x2
2 Zr 0.2166 0.7500 0.3077 x2
3 Zr 0.3563 0.7500 0.8860 x2
4 Cu 0.0027 0.2500 0.4025 x2
5 Cu 0.2924 0.2500 0.6874 x2
6 Cu 0.4450 0.2500 0.4040 x2

=====

No. 7
Here is an optimized crystal structure of GdDy2Mg3Ir2Pt from OQMD via LeMat-Bulk. Energies are from PBE-GGA.

E_tot ... -49.307 eV/f.u.
Crystal system ... orthorhombic
M_tot ... 0.008 μB per formula unit

Lattice parameters (Å, degrees): 4.0446 12.6920 7.3273 90.00 90.00 90.00
Space group Amm2 (No. 38)
Symmetry-distinct sites (fractional):
1 Gd 0.0000 0.0000 0.0000 x2
2 Dy 0.0000 0.2067 0.3798 x4
3 Mg 0.5000 0.0000 0.3395 x2
4 Mg 0.5000 0.1237 0.7100 x4
5 Ir 0.5000 0.1669 0.0866 x4
6 Pt 0.0000 0.0000 0.5862 x2

=====

No. 8
Here is an optimized crystal structure of RbCoTe2AuSe from OQMD via LeMat-Bulk. Energies are from PBE-GGA.

E_tot ... -22.218 eV/f.u.
Crystal system ... orthorhombic
M_tot ... 0.565 μB per formula unit

Lattice parameters (Å, degrees): 3.8605 16.6361 10.6056 90.00 90.00 90.00
Space group Cmcm (No. 63)
Symmetry-distinct sites (fractional):
1 Rb 0.0000 0.2484 0.2500 x4
2 Co 0.0000 0.5000 0.0000 x4
3 Te 0.0000 0.1028 0.5047 x8
4 Au 0.0000 0.0758 0.7500 x4
5 Se 0.0000 0.4555 0.7500 x4

=====

No. 9
Here is an optimized crystal structure of MgTaCuPd from OQMD via LeMat-Bulk. Energies are from PBE-GGA.

Crystal system ... cubic
M_tot ... 0.000 μB per formula unit
Energy above the most stable polymorph in this dataset ... 0.188 eV/atom

Lattice parameters (Å, degrees): 6.2777 6.2777 6.2777 90.00 90.00 90.00
Space group F-43m (No. 216)
Symmetry-distinct sites (fractional):
1 Mg 0.0000 0.0000 0.0000 x4
2 Ta 0.2500 0.2500 0.7500 x4
3 Cu 0.2500 0.2500 0.2500 x4
4 Pd 0.0000 0.0000 0.5000 x4

=====

No. 10
Here is an optimized crystal structure of ScUAl from OQMD via LeMat-Bulk. Energies are from PBE-GGA.

Crystal system ... cubic
M_tot ... 3.792 μB per formula unit
Energy above the most stable polymorph in this dataset ... 0.000 eV/atom

Lattice parameters (Å, degrees): 6.8354 6.8354 6.8354 90.00 90.00 90.00
Space group F-43m (No. 216)
Symmetry-distinct sites (fractional):
1 Sc 0.0000 0.0000 0.0000 x4
2 U 0.0000 0.0000 0.5000 x4
3 Al 0.2500 0.2500 0.2500 x4

=====

No. 11
Here is an optimized crystal structure of Sc4ZnGeC2 from OQMD via LeMat-Bulk. Energies are from PBE-GGA.

E_tot ... -53.740 eV/f.u.
Crystal system ... hexagonal
M_tot ... 0.979 μB per formula unit

Lattice parameters (Å, degrees): 3.3195 3.3195 14.2998 90.00 90.00 120.00
Space group P-6m2 (No. 187)
Symmetry-distinct sites (fractional):
1 Sc 0.0000 0.0000 0.1578 x2
2 Sc 0.3333 0.6667 0.3302 x2
3 Zn 0.0000 0.0000 0.5000 x1
4 Ge 0.3333 0.6667 0.0000 x1
5 C 0.6667 0.3333 0.2457 x2

=====

No. 12
Here is an optimized crystal structure of OsAu2Br from OQMD via LeMat-Bulk. Energies are from PBE-GGA.

E_tot ... -16.288 eV/f.u.
Crystal system ... hexagonal
M_tot ... 0.527 μB per formula unit

Lattice parameters (Å, degrees): 3.1655 3.1655 17.0076 90.00 90.00 120.00
Space group P6_3/mmc (No. 194)
Symmetry-distinct sites (fractional):
1 Os 0.0000 0.0000 0.0000 x2
2 Au 0.3333 0.6667 0.1180 x4
3 Br 0.3333 0.6667 0.7500 x2

=====

| no. | volume (Å³/f.u.) |
| --- | --- |
| 1 | 79.1 |
| 2 | 251.4 |
| 3 | 65.6 |
| 4 | 43.6 |
| 5 | 172.7 |
| 6 | 35.2 |
| 7 | 188.1 |
| 8 | 170.3 |
| 9 | 61.9 |
| 10 | 79.8 |
| 11 | 136.5 |
| 12 | 73.8 |